(1)
First-principles (PBE) data for a geometry-optimized BeRhF structure, as listed in the Alexandria database.

Computed properties:
E above lowest polymorph: 0.0 kJ/mol of formula units
Formation energy (no corrections): -1446 meV per atom
Space group: P-1 (2)

a = 2.6576 Å, b = 2.6582 Å, c = 11.0672 Å
α = 89.90°, β = 83.29°, γ = 60.01°
Element x y z (fractional)
Be1 0.0146 0.2436 0.2188
Be2 0.9854 0.7564 0.7812
Rh1 0.2349 0.6342 0.3931
Rh2 0.7651 0.3658 0.6069
F1 0.2680 0.1119 0.8615
F2 0.7320 0.8881 0.1385



(2)
First-principles (PBE) data for a geometry-optimized Sc2CuSi structure, as listed in the Alexandria database.

Computed properties:
Formation energy (no corrections): -473 meV per atom
Space group: P4/mmm (123)

a = 4.5777 Å, b = 4.5777 Å, c = 3.3379 Å
α = 90.00°, β = 90.00°, γ = 90.00°
Element x y z (fractional)
Sc1 0.0000 0.5000 0.0000
Sc2 0.5000 0.0000 0.0000
Cu1 0.0000 0.0000 0.5000
Si1 0.5000 0.5000 0.5000



(3)
First-principles (PBE) data for a geometry-optimized Ac5BS4 structure, as listed in the Alexandria database.

Computed properties:
Formation energy (no corrections): -1586 meV per atom
Space group: I4/m (87)

a = 7.4948 Å, b = 7.4948 Å, c = 7.4948 Å
α = 99.49°, β = 99.49°, γ = 132.08°
Element x y z (fractional)
Ac1 0.0000 0.0000 0.0000
Ac2 0.2133 0.5947 0.8080
Ac3 0.4053 0.2133 0.6185
Ac4 0.5947 0.7867 0.3815
Ac5 0.7867 0.4053 0.1920
B1 0.5000 0.5000 0.0000
S1 0.0983 0.3017 0.4000
S2 0.3017 0.9017 0.2033
S3 0.6983 0.0983 0.7967
S4 0.9017 0.6983 0.6000



(4)
First-principles (PBE) data for a geometry-optimized Dy2Tm2Mg5Sc structure, as listed in the Alexandria database.

Computed properties:
ΔE_f: 1.03 eV per formula unit
Space group: P4/mbm (127)

a = 10.4681 Å, b = 10.4681 Å, c = 4.9200 Å
α = 90.00°, β = 90.00°, γ = 90.00°
Element x y z (fractional)
Dy1 0.1775 0.3225 0.0000
Dy2 0.3225 0.8225 0.0000
Dy3 0.6775 0.1775 0.0000
Dy4 0.8225 0.6775 0.0000
Tm1 0.1193 0.6193 0.0000
Tm2 0.3807 0.1193 0.0000
Tm3 0.6193 0.8807 0.0000
Tm4 0.8807 0.3807 0.0000
Mg1 0.0000 0.5000 0.5000
Mg2 0.0713 0.8068 0.5000
Mg3 0.1932 0.0713 0.5000
Mg4 0.3068 0.5713 0.5000
Mg5 0.4287 0.3068 0.5000
Mg6 0.5000 0.0000 0.5000
Mg7 0.5713 0.6932 0.5000
Mg8 0.6932 0.4287 0.5000
Mg9 0.8068 0.9287 0.5000
Mg10 0.9287 0.1932 0.5000
Sc1 0.0000 0.0000 0.0000
Sc2 0.5000 0.5000 0.0000



| no. | total magnetic moment (Bohr magnetons per cell) |
| --- | --- |
| 1 | 0.00 |
| 2 | 0.00 |
| 3 | 0.00 |
| 4 | 0.00 |